[1]
# RbC2N2

A relaxed structure of RbC2N2 (PBE-GGA, the Alexandria database).

total moment	0.00	μB per formula unit
density of states at the Fermi level	2.5	states/eV per cell
raw total energy	-54.36	eV/cell
crystal system	tetragonal

```
data_RbC2N2
_chemical_formula_sum 'Rb2 C4 N4'
_space_group_name_H-M_alt 'I 4/m m m'
_space_group_IT_number 139
_space_group_name_Hall '-I 4 2'
_cell_length_a 3.221
_cell_length_b 3.221
_cell_length_c 10.479
_cell_angle_alpha 90.00
_cell_angle_beta 90.00
_cell_angle_gamma 90.00
loop_
_atom_site_label
_atom_site_type_symbol
_atom_site_fract_x
_atom_site_fract_y
_atom_site_fract_z
Rb1 Rb 0.000 0.000 0.000
C1 C 0.000 0.500 0.250
N1 N 0.000 0.000 0.299
```

=====

[2]
# RbC2N3

A relaxed structure of RbC2N3 (PBE-GGA, the Alexandria database).

total moment	0.00	μB per formula unit
density of states at the Fermi level	0.0	states/eV per cell
raw total energy	-547.68	eV/cell
crystal system	monoclinic

```
data_RbC2N3
_chemical_formula_sum 'Rb12 C24 N36'
_space_group_name_H-M_alt 'P 1 21/c 1'
_space_group_IT_number 14
_cell_length_a 4.040
_cell_length_b 12.543
_cell_length_c 25.684
_cell_angle_alpha 90.00
_cell_angle_beta 98.21
_cell_angle_gamma 90.00
loop_
_space_group_symop_operation_xyz
'x,y,z'
'-x,-y,-z'
'-x,y+1/2,-z+1/2'
'x,-y+1/2,z+1/2'
loop_
_atom_site_label
_atom_site_type_symbol
_atom_site_fract_x
_atom_site_fract_y
_atom_site_fract_z
Rb1 Rb 0.037 0.152 0.486
Rb2 Rb 0.051 0.085 0.097
Rb3 Rb 0.075 0.003 0.742
C1 C 0.406 0.740 0.294
C2 C 0.416 0.504 0.903
C3 C 0.466 0.723 0.709
C4 C 0.479 0.143 0.350
C5 C 0.486 0.134 0.963
C6 C 0.498 0.183 0.877
N1 N 0.378 0.681 0.329
N2 N 0.382 0.550 0.942
N3 N 0.427 0.688 0.758
N4 N 0.449 0.036 0.357
N5 N 0.476 0.646 0.672
N6 N 0.477 0.213 0.390
N7 N 0.480 0.150 0.009
N8 N 0.492 0.671 0.200
N9 N 0.494 0.106 0.915
```

=====

[3]
# RbC2N3

A relaxed structure of RbC2N3 (PBE-GGA, the Alexandria database).

total moment	0.00	μB per formula unit
density of states at the Fermi level	0.0	states/eV per cell
raw total energy	-179.60	eV/cell
crystal system	orthorhombic

```
data_RbC2N3
_chemical_formula_sum 'Rb4 C8 N12'
_space_group_name_H-M_alt 'P b c m'
_space_group_IT_number 57
_cell_length_a 8.666
_cell_length_b 6.814
_cell_length_c 7.908
_cell_angle_alpha 90.00
_cell_angle_beta 90.00
_cell_angle_gamma 90.00
loop_
_space_group_symop_operation_xyz
'x,y,z'
'-x,-y,-z'
'-x,-y,z+1/2'
'x,y,-z+1/2'
'x,-y+1/2,-z'
'-x,y+1/2,z'
'-x,y+1/2,-z+1/2'
'x,-y+1/2,z+1/2'
loop_
_atom_site_label
_atom_site_type_symbol
_atom_site_fract_x
_atom_site_fract_y
_atom_site_fract_z
Rb1 Rb 0.184 0.250 0.000
C1 C 0.183 0.731 0.250
C2 C 0.434 0.653 0.750
N1 N 0.079 0.618 0.250
N2 N 0.285 0.629 0.750
N3 N 0.429 0.154 0.750
```

=====

[4]
# RbCN2

A relaxed structure of RbCN2 (PBE-GGA, the Alexandria database).

total moment	0.28	μB per formula unit
density of states at the Fermi level	4.6	states/eV per cell
raw total energy	-52.97	eV/cell
crystal system	orthorhombic

```
data_RbCN2
_chemical_formula_sum 'Rb2 C2 N4'
_space_group_name_H-M_alt 'P m m a'
_space_group_IT_number 51
_cell_length_a 6.710
_cell_length_b 4.125
_cell_length_c 5.651
_cell_angle_alpha 90.00
_cell_angle_beta 90.00
_cell_angle_gamma 90.00
loop_
_space_group_symop_operation_xyz
'x,y,z'
'-x,-y,-z'
'-x+1/2,-y,z'
'x+1/2,y,-z'
'x+1/2,-y,-z'
'-x+1/2,y,z'
'-x,y,-z'
'x,-y,z'
loop_
_atom_site_label
_atom_site_type_symbol
_atom_site_fract_x
_atom_site_fract_y
_atom_site_fract_z
Rb1 Rb 0.250 0.000 0.232
C1 C 0.250 0.500 0.703
N1 N 0.065 0.500 0.709
```

=====

[5]
# Rb3CN4

A relaxed structure of Rb3CN4 (PBE-GGA, the Alexandria database).

total moment	3.00	μB per formula unit
density of states at the Fermi level	7.8	states/eV per cell
raw total energy	-75.27	eV/cell
crystal system	tetragonal

```
data_Rb3CN4
_chemical_formula_sum 'Rb6 C2 N8'
_space_group_name_H-M_alt 'I 4/m m m'
_space_group_IT_number 139
_space_group_name_Hall '-I 4 2'
_cell_length_a 6.281
_cell_length_b 6.281
_cell_length_c 8.115
_cell_angle_alpha 90.00
_cell_angle_beta 90.00
_cell_angle_gamma 90.00
loop_
_atom_site_label
_atom_site_type_symbol
_atom_site_fract_x
_atom_site_fract_y
_atom_site_fract_z
Rb1 Rb 0.000 0.000 0.000
Rb2 Rb 0.000 0.500 0.250
C1 C 0.000 0.000 0.500
N1 N 0.166 0.166 0.500
```

=====

[6]
# RbC2N3

A relaxed structure of RbC2N3 (PBE-GGA, the Alexandria database).

total moment	0.00	μB per formula unit
density of states at the Fermi level	0.0	states/eV per cell
raw total energy	-718.61	eV/cell
crystal system	monoclinic

```
data_RbC2N3
_chemical_formula_sum 'Rb16 C32 N48'
_space_group_name_H-M_alt 'C 1 2/c 1'
_space_group_IT_number 15
_cell_length_a 14.082
_cell_length_b 10.285
_cell_length_c 14.596
_cell_angle_alpha 90.00
_cell_angle_beta 115.63
_cell_angle_gamma 90.00
loop_
_space_group_symop_operation_xyz
'x,y,z'
'-x,-y,-z'
'-x,y,-z+1/2'
'x,-y,z+1/2'
'x+1/2,y+1/2,z'
'-x+1/2,-y+1/2,-z'
'-x+1/2,y+1/2,-z+1/2'
'x+1/2,-y+1/2,z+1/2'
loop_
_atom_site_label
_atom_site_type_symbol
_atom_site_fract_x
_atom_site_fract_y
_atom_site_fract_z
Rb1 Rb 0.017 0.173 0.087
Rb2 Rb 0.167 0.496 0.369
C1 C 0.114 0.464 0.612
C2 C 0.142 0.136 0.729
C3 C 0.146 0.159 0.889
C4 C 0.238 0.150 0.375
N1 N 0.057 0.477 0.137
N2 N 0.135 0.084 0.654
N3 N 0.143 0.131 0.966
N4 N 0.152 0.204 0.808
N5 N 0.154 0.199 0.338
N6 N 0.168 0.400 0.574
```

=====

[7]
# RbC2N2

A relaxed structure of RbC2N2 (PBE-GGA, the Alexandria database).

total moment	0.00	μB per formula unit
density of states at the Fermi level	5.5	states/eV per cell
raw total energy	-122.49	eV/cell
crystal system	tetragonal

```
data_RbC2N2
_chemical_formula_sum 'Rb4 C8 N8'
_space_group_name_H-M_alt 'I 4/m c m'
_space_group_IT_number 140
_space_group_name_Hall '-I 4 2c'
_cell_length_a 4.790
_cell_length_b 4.790
_cell_length_c 15.301
_cell_angle_alpha 90.00
_cell_angle_beta 90.00
_cell_angle_gamma 90.00
loop_
_atom_site_label
_atom_site_type_symbol
_atom_site_fract_x
_atom_site_fract_y
_atom_site_fract_z
Rb1 Rb 0.000 0.000 0.250
C1 C 0.146 0.354 0.000
N1 N 0.149 0.351 0.500
```

=====

[8]
# RbCN2

A relaxed structure of RbCN2 (PBE-GGA, the Alexandria database).

total moment	1.07	μB per formula unit
density of states at the Fermi level	4.7	states/eV per cell
raw total energy	-50.69	eV/cell
crystal system	trigonal

```
data_RbCN2
_chemical_formula_sum 'Rb3 C3 N6'
_space_group_name_H-M_alt 'R -3 m'
_space_group_IT_number 166
_space_group_name_Hall '-R 3 2"'
_cell_length_a 2.7965
_cell_length_b 2.7965
_cell_length_c 20.9091
_cell_angle_alpha 90.00
_cell_angle_beta 90.00
_cell_angle_gamma 120.00
loop_
_atom_site_label
_atom_site_type_symbol
_atom_site_fract_x
_atom_site_fract_y
_atom_site_fract_z
Rb1 Rb 0.0000 0.0000 0.0000
C1 C 0.0000 0.0000 0.5000
N1 N 0.0000 0.0000 0.1259
```

=====

[9]
# Rb3CN3

A relaxed structure of Rb3CN3 (PBE-GGA, the Alexandria database).

total moment	0.05	μB per formula unit
density of states at the Fermi level	4.4	states/eV per cell
raw total energy	-106.36	eV/cell
crystal system	trigonal

```
data_Rb3CN3
_chemical_formula_sum 'Rb9 C3 N9'
_space_group_name_H-M_alt 'R 3 m'
_space_group_IT_number 160
_space_group_name_Hall 'R 3 -2"'
_cell_length_a 7.3282
_cell_length_b 7.3282
_cell_length_c 11.5153
_cell_angle_alpha 90.00
_cell_angle_beta 90.00
_cell_angle_gamma 120.00
loop_
_atom_site_label
_atom_site_type_symbol
_atom_site_fract_x
_atom_site_fract_y
_atom_site_fract_z
Rb1 Rb 0.0027 0.5014 0.0000
C1 C 0.0000 0.0000 0.1206
N1 N 0.2115 0.1057 0.1237
```

=====

[10]
# RbCN2

A relaxed structure of RbCN2 (PBE-GGA, the Alexandria database).

total moment	0.00	μB per formula unit
density of states at the Fermi level	6.1	states/eV per cell
raw total energy	-90.16	eV/cell
crystal system	tetragonal

```
data_RbCN2
_chemical_formula_sum 'Rb4 C4 N8'
_space_group_name_H-M_alt 'I 41/a m d'
_space_group_IT_number 141
_cell_length_a 4.920
_cell_length_b 4.920
_cell_length_c 6.995
_cell_angle_alpha 90.00
_cell_angle_beta 90.00
_cell_angle_gamma 90.00
loop_
_space_group_symop_operation_xyz
'x,y,z'
'-x,-y,-z'
'-y+1/4,x+3/4,z+1/4'
'y+1/4,-x+3/4,-z+1/4'
'-x+1/2,-y,z+1/2'
'x+1/2,y,-z+1/2'
'y+1/4,-x+1/4,z+3/4'
'-y+1/4,x+1/4,-z+3/4'
'x,-y,-z'
'-x,y,z'
'-y+1/4,-x+1/4,-z+3/4'
'y+1/4,x+1/4,z+3/4'
'-x+1/2,y,-z+1/2'
'x+1/2,-y,z+1/2'
'y+1/4,x+3/4,-z+1/4'
'-y+1/4,-x+3/4,z+1/4'
'x+1/2,y+1/2,z+1/2'
'-x+1/2,-y+1/2,-z+1/2'
'-y+3/4,x+1/4,z+3/4'
'y+3/4,-x+1/4,-z+3/4'
'-x,-y+1/2,z'
'x,y+1/2,-z'
'y+3/4,-x+3/4,z+1/4'
'-y+3/4,x+3/4,-z+1/4'
'x+1/2,-y+1/2,-z+1/2'
'-x+1/2,y+1/2,z+1/2'
'-y+3/4,-x+3/4,-z+1/4'
'y+3/4,x+3/4,z+1/4'
'-x,y+1/2,-z'
'x,-y+1/2,z'
'y+3/4,x+1/4,-z+3/4'
'-y+3/4,-x+1/4,z+3/4'
loop_
_atom_site_label
_atom_site_type_symbol
_atom_site_fract_x
_atom_site_fract_y
_atom_site_fract_z
Rb1 Rb 0.000 0.250 0.375
C1 C 0.000 0.250 0.875
N1 N 0.000 0.000 0.000
```

=====

[11]
# RbC2N

A relaxed structure of RbC2N (PBE-GGA, the Alexandria database).

total moment	0.00	μB per formula unit
density of states at the Fermi level	6.6	states/eV per cell
raw total energy	-71.77	eV/cell
crystal system	tetragonal

```
data_RbC2N
_chemical_formula_sum 'Rb4 C8 N4'
_space_group_name_H-M_alt 'I -4 2 d'
_space_group_IT_number 122
_space_group_name_Hall 'I -4 2bw'
_cell_length_a 5.444
_cell_length_b 5.444
_cell_length_c 7.219
_cell_angle_alpha 90.00
_cell_angle_beta 90.00
_cell_angle_gamma 90.00
loop_
_atom_site_label
_atom_site_type_symbol
_atom_site_fract_x
_atom_site_fract_y
_atom_site_fract_z
Rb1 Rb 0.000 0.000 0.000
C1 C 0.083 0.250 0.625
N1 N 0.000 0.000 0.500
```

=====

[12]
# RbC2N2

A relaxed structure of RbC2N2 (PBE-GGA, the Alexandria database).

total moment	1.02	μB per formula unit
density of states at the Fermi level	0.1	states/eV per cell
raw total energy	-61.54	eV/cell
crystal system	tetragonal

```
data_RbC2N2
_chemical_formula_sum 'Rb2 C4 N4'
_space_group_name_H-M_alt 'P 4/m b m'
_space_group_IT_number 127
_space_group_name_Hall '-P 4 2ab'
_cell_length_a 7.001
_cell_length_b 7.001
_cell_length_c 5.855
_cell_angle_alpha 90.00
_cell_angle_beta 90.00
_cell_angle_gamma 90.00
loop_
_atom_site_label
_atom_site_type_symbol
_atom_site_fract_x
_atom_site_fract_y
_atom_site_fract_z
Rb1 Rb 0.000 0.000 0.000
C1 C 0.064 0.436 0.500
N1 N 0.056 0.556 0.000
```

=====

[13]
# RbCN

A relaxed structure of RbCN (PBE-GGA, the Alexandria database).

total moment	0.00	μB per formula unit
density of states at the Fermi level	13.6	states/eV per cell
raw total energy	-140.13	eV/cell
crystal system	orthorhombic

```
data_RbCN
_chemical_formula_sum 'Rb8 C8 N8'
_space_group_name_H-M_alt 'F m m 2'
_space_group_IT_number 42
_space_group_name_Hall 'F 2 -2'
_cell_length_a 4.664
_cell_length_b 16.500
_cell_length_c 10.268
_cell_angle_alpha 90.00
_cell_angle_beta 90.00
_cell_angle_gamma 90.00
loop_
_atom_site_label
_atom_site_type_symbol
_atom_site_fract_x
_atom_site_fract_y
_atom_site_fract_z
Rb1 Rb 0.000 0.108 0.000
C1 C 0.249 0.000 0.289
N1 N 0.000 0.000 0.222
N2 N 0.000 0.000 0.723
```

=====

[14]
# RbRuCN2

A relaxed structure of RbRuCN2 (PBE-GGA, the Alexandria database).

total moment	0.00	μB per formula unit
density of states at the Fermi level	6.0	states/eV per cell
raw total energy	-15.28	eV/cell
crystal system	tetragonal

```
data_RbRuCN2
_chemical_formula_sum 'Rb1 Ru1 C1 N2'
_space_group_name_H-M_alt 'P 4/m m m'
_space_group_IT_number 123
_space_group_name_Hall '-P 4 2'
_cell_length_a 4.207
_cell_length_b 4.207
_cell_length_c 4.236
_cell_angle_alpha 90.00
_cell_angle_beta 90.00
_cell_angle_gamma 90.00
loop_
_atom_site_label
_atom_site_type_symbol
_atom_site_fract_x
_atom_site_fract_y
_atom_site_fract_z
Rb1 Rb 0.000 0.000 0.000
Ru1 Ru 0.500 0.500 0.500
C1 C 0.000 0.000 0.500
N1 N 0.000 0.500 0.000
```

=====

[15]
# RbCS2N

A relaxed structure of RbCS2N (PBE-GGA, the Alexandria database).

total moment	8.08	μB per formula unit
density of states at the Fermi level	7.1	states/eV per cell
raw total energy	-11.38	eV/cell
crystal system	tetragonal

```
data_RbCS2N
_chemical_formula_sum 'Rb1 C1 S2 N1'
_space_group_name_H-M_alt 'P 4/m m m'
_space_group_IT_number 123
_space_group_name_Hall '-P 4 2'
_cell_length_a 6.773
_cell_length_b 6.773
_cell_length_c 6.379
_cell_angle_alpha 90.00
_cell_angle_beta 90.00
_cell_angle_gamma 90.00
loop_
_atom_site_label
_atom_site_type_symbol
_atom_site_fract_x
_atom_site_fract_y
_atom_site_fract_z
Rb1 Rb 0.000 0.000 0.000
C1 C 0.500 0.500 0.500
S1 S 0.000 0.500 0.000
N1 N 0.000 0.000 0.500
```

=====

[16]
# RbCS2N

A relaxed structure of RbCS2N (PBE-GGA, the Alexandria database).

total moment	2.40	μB per formula unit
density of states at the Fermi level	2.4	states/eV per cell
raw total energy	-19.16	eV/cell
crystal system	tetragonal

```
data_RbCS2N
_chemical_formula_sum 'Rb1 C1 S2 N1'
_space_group_name_H-M_alt 'P 4/m m m'
_space_group_IT_number 123
_space_group_name_Hall '-P 4 2'
_cell_length_a 4.042
_cell_length_b 4.042
_cell_length_c 5.995
_cell_angle_alpha 90.00
_cell_angle_beta 90.00
_cell_angle_gamma 90.00
loop_
_atom_site_label
_atom_site_type_symbol
_atom_site_fract_x
_atom_site_fract_y
_atom_site_fract_z
Rb1 Rb 0.000 0.000 0.000
C1 C 0.500 0.500 0.500
S1 S 0.000 0.500 0.500
N1 N 0.500 0.500 0.000
```